No. 1
# BaTb2Te4 (PBE, relaxed)
data_BaTb2Te4
_chemical_formula_sum 'Ba4 Tb8 Te16'
_cell_length_a 13.805
_cell_length_b 4.501
_cell_length_c 16.349
_cell_angle_alpha 90.00
_cell_angle_beta 90.00
_cell_angle_gamma 90.00
_space_group_name_H-M_alt 'P 1'
_space_group_IT_number 1
loop_
_space_group_symop_operation_xyz
'x,y,z'
loop_
_atom_site_label
_atom_site_fract_x
_atom_site_fract_y
_atom_site_fract_z
Ba1 0.261 0.750 0.169
Ba2 0.761 0.750 0.331
Ba3 0.239 0.250 0.669
Ba4 0.739 0.250 0.831
Tb1 0.580 0.250 0.097
Tb2 0.939 0.750 0.109
Tb3 0.439 0.750 0.391
Tb4 0.080 0.250 0.403
Tb5 0.920 0.750 0.597
Tb6 0.561 0.250 0.609
Tb7 0.061 0.250 0.891
Tb8 0.420 0.750 0.903
Te1 0.372 0.250 0.028
Te2 0.090 0.250 0.077
Te3 0.795 0.250 0.163
Te4 0.526 0.750 0.216
Te5 0.026 0.750 0.284
Te6 0.295 0.250 0.337
Te7 0.590 0.250 0.423
Te8 0.872 0.250 0.472
Te9 0.128 0.750 0.528
Te10 0.410 0.750 0.577
Te11 0.705 0.750 0.663
Te12 0.974 0.250 0.716
Te13 0.474 0.250 0.784
Te14 0.205 0.750 0.837
Te15 0.910 0.750 0.923
Te16 0.628 0.750 0.972
# Total energy = -4.94 eV/atom
# Space-group type = Pnma

No. 2
# BaTbTlTe3 (PBE, relaxed)
data_BaTbTlTe3
_chemical_formula_sum 'Ba2 Tb2 Tl2 Te6'
_cell_length_a 8.074
_cell_length_b 8.074
_cell_length_c 11.947
_cell_angle_alpha 90.00
_cell_angle_beta 90.00
_cell_angle_gamma 146.57
_space_group_name_H-M_alt 'P 1'
_space_group_IT_number 1
loop_
_space_group_symop_operation_xyz
'x,y,z'
loop_
_atom_site_label
_atom_site_fract_x
_atom_site_fract_y
_atom_site_fract_z
Ba1 0.238 0.762 0.250
Ba2 0.762 0.238 0.750
Tb1 0.000 0.000 0.000
Tb2 0.000 0.000 0.500
Te1 0.642 0.358 0.025
Te2 0.904 0.096 0.250
Te3 0.642 0.358 0.475
Te4 0.358 0.642 0.525
Te5 0.096 0.904 0.750
Te6 0.358 0.642 0.975
Tl1 0.534 0.466 0.250
Tl2 0.466 0.534 0.750
# Total energy = -4.11 eV/atom
# Space-group type = Cmcm

No. 3
# BaTbTl (PBE, relaxed)
data_BaTbTl
_chemical_formula_sum 'Ba1 Tb1 Tl1'
_cell_length_a 5.582
_cell_length_b 5.582
_cell_length_c 5.582
_cell_angle_alpha 60.00
_cell_angle_beta 60.00
_cell_angle_gamma 60.00
_space_group_name_H-M_alt 'P 1'
_space_group_IT_number 1
loop_
_space_group_symop_operation_xyz
'x,y,z'
loop_
_atom_site_label
_atom_site_fract_x
_atom_site_fract_y
_atom_site_fract_z
Ba1 0.250 0.250 0.250
Tb1 0.750 0.750 0.750
Tl1 0.000 0.000 0.000
# Total energy = -2.93 eV/atom
# Space-group type = F-43m
# Polymorph energy (0 for the lowest one) = 0.0000 eV/atom

No. 4
# BaTbTl (PBE, relaxed)
data_BaTbTl
_chemical_formula_sum 'Ba1 Tb1 Tl1'
_cell_length_a 5.484
_cell_length_b 5.484
_cell_length_c 5.484
_cell_angle_alpha 60.00
_cell_angle_beta 60.00
_cell_angle_gamma 60.00
_space_group_name_H-M_alt 'P 1'
_space_group_IT_number 1
loop_
_space_group_symop_operation_xyz
'x,y,z'
loop_
_atom_site_label
_atom_site_fract_x
_atom_site_fract_y
_atom_site_fract_z
Ba1 0.000 0.000 0.000
Tb1 0.250 0.250 0.250
Tl1 0.750 0.750 0.750
# Total energy = -2.47 eV/atom
# Space-group type = F-43m
# Polymorph energy (0 for the lowest one) = 0.4514 eV/atom

No. 5
# BaTbU (PBE, relaxed)
data_BaTbU
_chemical_formula_sum 'Ba1 Tb1 U1'
_cell_length_a 5.706
_cell_length_b 5.706
_cell_length_c 5.706
_cell_angle_alpha 60.00
_cell_angle_beta 60.00
_cell_angle_gamma 60.00
_space_group_name_H-M_alt 'P 1'
_space_group_IT_number 1
loop_
_space_group_symop_operation_xyz
'x,y,z'
loop_
_atom_site_label
_atom_site_fract_x
_atom_site_fract_y
_atom_site_fract_z
Ba1 0.250 0.250 0.250
Tb1 0.750 0.750 0.750
U1 0.000 0.000 0.000
# Total energy = -4.42 eV/atom
# Space-group type = F-43m

No. 6
# BaTbZr (PBE, relaxed)
data_BaTbZr
_chemical_formula_sum 'Ba1 Tb1 Zr1'
_cell_length_a 5.533
_cell_length_b 5.533
_cell_length_c 5.533
_cell_angle_alpha 60.00
_cell_angle_beta 60.00
_cell_angle_gamma 60.00
_space_group_name_H-M_alt 'P 1'
_space_group_IT_number 1
loop_
_space_group_symop_operation_xyz
'x,y,z'
loop_
_atom_site_label
_atom_site_fract_x
_atom_site_fract_y
_atom_site_fract_z
Ba1 0.250 0.250 0.250
Tb1 0.750 0.750 0.750
Zr1 0.000 0.000 0.000
# Total energy = -4.01 eV/atom
# Space-group type = F-43m
# Polymorph energy (0 for the lowest one) = 0.0000 eV/atom

No. 7
# BaTc (PBE, relaxed)
data_BaTc
_chemical_formula_sum 'Ba1 Tc1'
_cell_length_a 3.337
_cell_length_b 3.337
_cell_length_c 5.338
_cell_angle_alpha 90.00
_cell_angle_beta 90.00
_cell_angle_gamma 120.00
_space_group_name_H-M_alt 'P 1'
_space_group_IT_number 1
loop_
_space_group_symop_operation_xyz
'x,y,z'
loop_
_atom_site_label
_atom_site_fract_x
_atom_site_fract_y
_atom_site_fract_z
Ba1 0.667 0.333 0.750
Tc1 0.333 0.667 0.250
# Total energy = -4.62 eV/atom
# Space-group type = P-6m2
# Polymorph energy (0 for the lowest one) = 0.0000 eV/atom

No. 8
# Ba2Tc (PBE, relaxed)
data_Ba2Tc
_chemical_formula_sum 'Ba4 Tc2'
_cell_length_a 8.852
_cell_length_b 8.852
_cell_length_c 8.852
_cell_angle_alpha 60.00
_cell_angle_beta 60.00
_cell_angle_gamma 60.00
_space_group_name_H-M_alt 'P 1'
_space_group_IT_number 1
loop_
_space_group_symop_operation_xyz
'x,y,z'
loop_
_atom_site_label
_atom_site_fract_x
_atom_site_fract_y
_atom_site_fract_z
Ba1 0.875 0.375 0.375
Ba2 0.375 0.875 0.375
Ba3 0.375 0.375 0.375
Ba4 0.375 0.375 0.875
Tc1 0.250 0.250 0.250
Tc2 0.500 0.500 0.500
# Total energy = -3.51 eV/atom
# Space-group type = Fd-3m
# Polymorph energy (0 for the lowest one) = 0.0000 eV/atom

No. 9
# BaTc (PBE, relaxed)
data_BaTc
_chemical_formula_sum 'Ba1 Tc1'
_cell_length_a 4.629
_cell_length_b 4.629
_cell_length_c 4.629
_cell_angle_alpha 60.00
_cell_angle_beta 60.00
_cell_angle_gamma 60.00
_space_group_name_H-M_alt 'P 1'
_space_group_IT_number 1
loop_
_space_group_symop_operation_xyz
'x,y,z'
loop_
_atom_site_label
_atom_site_fract_x
_atom_site_fract_y
_atom_site_fract_z
Ba1 0.000 0.000 0.000
Tc1 0.500 0.500 0.500
# Total energy = -4.38 eV/atom
# Space-group type = Fm-3m
# Polymorph energy (0 for the lowest one) = 0.2369 eV/atom

No. 10
# Ba2Tc (PBE, relaxed)
data_Ba2Tc
_chemical_formula_sum 'Ba4 Tc2'
_cell_length_a 6.603
_cell_length_b 6.603
_cell_length_c 6.603
_cell_angle_alpha 60.00
_cell_angle_beta 60.00
_cell_angle_gamma 60.00
_space_group_name_H-M_alt 'P 1'
_space_group_IT_number 1
loop_
_space_group_symop_operation_xyz
'x,y,z'
loop_
_atom_site_label
_atom_site_fract_x
_atom_site_fract_y
_atom_site_fract_z
Ba1 0.625 0.625 0.125
Ba2 0.625 0.125 0.625
Ba3 0.125 0.625 0.625
Ba4 0.625 0.625 0.625
Tc1 0.000 0.000 0.000
Tc2 0.250 0.250 0.250
# Total energy = -3.05 eV/atom
# Space-group type = Fd-3m
# Polymorph energy (0 for the lowest one) = 0.4625 eV/atom

No. 11
# BaTc (PBE, relaxed)
data_BaTc
_chemical_formula_sum 'Ba1 Tc1'
_cell_length_a 4.912
_cell_length_b 4.912
_cell_length_c 4.912
_cell_angle_alpha 60.00
_cell_angle_beta 60.00
_cell_angle_gamma 60.00
_space_group_name_H-M_alt 'P 1'
_space_group_IT_number 1
loop_
_space_group_symop_operation_xyz
'x,y,z'
loop_
_atom_site_label
_atom_site_fract_x
_atom_site_fract_y
_atom_site_fract_z
Ba1 0.000 0.000 0.000
Tc1 0.250 0.250 0.250
# Total energy = -3.92 eV/atom
# Space-group type = F-43m
# Polymorph energy (0 for the lowest one) = 0.6953 eV/atom

No. 12
# BaThTc (PBE, relaxed)
data_BaThTc
_chemical_formula_sum 'Ba1 Th1 Tc1'
_cell_length_a 4.970
_cell_length_b 4.970
_cell_length_c 4.970
_cell_angle_alpha 60.00
_cell_angle_beta 60.00
_cell_angle_gamma 60.00
_space_group_name_H-M_alt 'P 1'
_space_group_IT_number 1
loop_
_space_group_symop_operation_xyz
'x,y,z'
loop_
_atom_site_label
_atom_site_fract_x
_atom_site_fract_y
_atom_site_fract_z
Ba1 0.000 0.000 0.000
Tc1 0.250 0.250 0.250
Th1 0.750 0.750 0.750
# Total energy = -5.00 eV/atom
# Space-group type = F-43m

No. 13
# BaTmTc (PBE, relaxed)
data_BaTmTc
_chemical_formula_sum 'Ba1 Tm1 Tc1'
_cell_length_a 4.920
_cell_length_b 4.920
_cell_length_c 4.920
_cell_angle_alpha 60.00
_cell_angle_beta 60.00
_cell_angle_gamma 60.00
_space_group_name_H-M_alt 'P 1'
_space_group_IT_number 1
loop_
_space_group_symop_operation_xyz
'x,y,z'
loop_
_atom_site_label
_atom_site_fract_x
_atom_site_fract_y
_atom_site_fract_z
Ba1 0.000 0.000 0.000
Tc1 0.250 0.250 0.250
Tm1 0.750 0.750 0.750
# Total energy = -3.99 eV/atom
# Space-group type = F-43m
# Polymorph energy (0 for the lowest one) = 0.3592 eV/atom